No. 1
Entry from the Alexandria database: an optimized crystal structure of Hf2SbP2 (GGA-PBE).

Summary:
Raw formation energy (eV per atom): -0.734
ΔE to the lowest computed polymorph (eV/atom): 0.000

Cell lengths 7.5540, 7.5540, 3.3547 Å; angles 90.00, 90.00, 90.00 degrees
With the nearest neighbours (Å) after each atom.
Space group P4/mbm (No. 127)
Unique sites:
Hf1 0.1519 0.3481 0.0000 (multiplicity 4)  6 P 2.74-2.83, 2 Sb 2.87
Sb1 0.0000 0.0000 0.0000 (multiplicity 2)  4 Hf 2.87
P1 0.1343 0.6343 0.5000 (multiplicity 4)  6 Hf 2.74-2.83, 1 P 2.87

No. 2
Entry from the Alexandria database: an optimized crystal structure of Tl2CrRh (GGA-PBE).

Summary:
Calculated formation energy (eV/atom): 0.52
ΔE to the lowest computed polymorph (eV/atom): 0.233

Cell lengths 6.8408, 6.8408, 6.8408 Å; angles 90.00, 90.00, 90.00 degrees
With the nearest neighbours (Å) after each atom.
Space group F-43m (No. 216)
Unique sites:
Tl1 0.0000 0.0000 0.0000 (multiplicity 4)  4 Cr 2.96, 4 Tl 2.96
Tl2 0.2500 0.2500 0.2500 (multiplicity 4)  4 Tl 2.96, 4 Rh 2.96
Cr1 0.2500 0.2500 0.7500 (multiplicity 4)  4 Tl 2.96, 4 Rh 2.96
Rh1 0.0000 0.0000 0.5000 (multiplicity 4)  4 Cr 2.96, 4 Tl 2.96

No. 3
Entry from the Alexandria database: an optimized crystal structure of Sc4Ga5Si2 (GGA-PBE).

Summary:
Raw formation energy (eV per atom): -0.566

Cell lengths 6.8466, 3.7825, 7.8506 Å; angles 90.00, 91.57, 90.00 degrees
With the nearest neighbours (Å) after each atom.
Space group P2/m (No. 10)
Unique sites:
Sc1 0.2147 0.0000 0.3617 (multiplicity 2)  2 Si 2.76, 8 Ga 2.87-3.04
Sc2 0.2345 0.0000 0.9018 (multiplicity 2)  4 Si 2.82-2.89, 6 Ga 2.92-3.11
Ga1 0.1329 0.5000 0.6250 (multiplicity 2)  1 Si 2.46, 2 Ga 2.64-2.72
Ga2 0.4507 0.5000 0.1592 (multiplicity 2)  1 Si 2.51, 2 Ga 2.61-2.69
Ga3 0.5000 0.5000 0.5000 (multiplicity 1)  4 Ga 2.69-2.72, 4 Sc 2.91
Si1 0.0844 0.5000 0.1301 (multiplicity 2)  1 Si 2.32, 2 Ga 2.46-2.51

No. 4
Entry from the Alexandria database: an optimized crystal structure of BaHf2TcAg (GGA-PBE).

Summary:
Calculated formation energy (eV/atom): 0.67

Cell lengths 5.0287, 5.0287, 5.9044 Å; angles 90.00, 90.00, 90.00 degrees
With the nearest neighbours (Å) after each atom.
Space group P4/mmm (No. 123)
Unique sites:
Ba1 0.0000 0.0000 0.0000 (multiplicity 1)  2 Tc 2.95
Hf1 0.0000 0.5000 0.5000 (multiplicity 2)  2 Tc 2.51
Tc1 0.0000 0.0000 0.5000 (multiplicity 1)  4 Hf 2.51
Ag1 0.5000 0.5000 0.0000 (multiplicity 1)  4 Ba 3.56, 8 Hf 3.88

No. 5
Entry from the Alexandria database: an optimized crystal structure of ThSc3Te2 (GGA-PBE).

Summary:
Raw formation energy (eV per atom): -0.722

Cell lengths 15.2802, 3.9492, 11.7798 Å; angles 90.00, 115.99, 90.00 degrees
With the nearest neighbours (Å) after each atom.
Space group C2/m (No. 12)
Unique sites:
Th1 0.1386 0.0000 0.0470 (multiplicity 4)  7 Te 3.20-3.28
Sc1 0.0425 0.0000 0.3590 (multiplicity 4)  3 Te 3.00-3.13, 6 Sc 3.13-3.34
Sc2 0.1122 0.5000 0.5880 (multiplicity 4)  2 Te 2.99, 7 Sc 3.13-3.34
Sc3 0.2168 0.5000 0.3873 (multiplicity 4)  2 Te 2.98-3.18, 6 Sc 3.10-3.21
Te1 0.0254 0.5000 0.1588 (multiplicity 4)  3 Sc 2.98-3.00, 4 Th 3.26-3.28
Te2 0.1840 0.0000 0.7999 (multiplicity 4)  4 Sc 2.99-3.18, 3 Th 3.20-3.27

No. 6
Entry from the Alexandria database: an optimized crystal structure of Ba3HfTa (GGA-PBE).

Summary:
Calculated formation energy (eV/atom): 1.57
ΔE to the lowest computed polymorph (eV/atom): 0.000

Cell lengths 6.0440, 6.0440, 6.0440 Å; angles 90.00, 90.00, 90.00 degrees
With the nearest neighbours (Å) after each atom.
Space group Pm-3m (No. 221)
Unique sites:
Ba1 0.0000 0.0000 0.5000 (multiplicity 3)  2 Ta 3.02
Hf1 0.5000 0.5000 0.5000 (multiplicity 1)  12 Ba 4.27
Ta1 0.0000 0.0000 0.0000 (multiplicity 1)  6 Ba 3.02

No. 7
Entry from the Alexandria database: an optimized crystal structure of ZnGa2I5 (GGA-PBE).

Summary:
Raw formation energy (eV per atom): -0.410

Cell lengths 4.2566, 17.0472, 9.9447 Å; angles 90.00, 102.29, 90.00 degrees
With the nearest neighbours (Å) after each atom.
Space group P2_1/m (No. 11)
Unique sites:
Zn1 0.1139 0.2500 0.2183 (multiplicity 2)  4 I 2.63-2.68
Ga1 0.0954 0.6708 0.2033 (multiplicity 4)  1 Ga 2.70, 3 I 2.82-2.83
I1 0.0423 0.1195 0.0741 (multiplicity 4)  1 Zn 2.63, 1 Ga 2.83
I2 0.3028 0.7500 0.6144 (multiplicity 2)  2 Zn 2.68
I3 0.3482 0.0835 0.6839 (multiplicity 4)  2 Ga 2.82

No. 8
Entry from the Alexandria database: an optimized crystal structure of LaSc2CuC (GGA-PBE).

Summary:
Calculated formation energy (eV/atom): -0.15

Cell lengths 4.4671, 4.4671, 5.2863 Å; angles 90.00, 90.00, 90.00 degrees
With the nearest neighbours (Å) after each atom.
Space group P4/mmm (No. 123)
Unique sites:
La1 0.0000 0.0000 0.0000 (multiplicity 1)  2 C 2.64
Sc1 0.0000 0.5000 0.5000 (multiplicity 2)  2 C 2.23
Cu1 0.5000 0.5000 0.0000 (multiplicity 1)  4 La 3.16, 8 Sc 3.46
C1 0.0000 0.0000 0.5000 (multiplicity 1)  4 Sc 2.23

No. 9
Entry from the Alexandria database: an optimized crystal structure of TeSe (GGA-PBE).

Summary:
Raw formation energy (eV per atom): 0.219

Cell lengths 13.0751, 13.0751, 3.5722 Å; angles 90.00, 90.00, 90.00 degrees
With the nearest neighbours (Å) after each atom.
Space group I4/m (No. 87)
Unique sites:
Te1 0.0664 0.2589 0.0000 (multiplicity 8)  1 Se 2.49
Se1 0.1239 0.7458 0.0000 (multiplicity 8)  1 Te 2.49

No. 10
Entry from the Alexandria database: an optimized crystal structure of CePu2Ir (GGA-PBE).

Summary:
Calculated formation energy (eV/atom): -0.25
ΔE to the lowest computed polymorph (eV/atom): 0.000

Cell lengths 7.0507, 7.0507, 7.0507 Å; angles 90.00, 90.00, 90.00 degrees
With the nearest neighbours (Å) after each atom.
Space group Fm-3m (No. 225)
Unique sites:
Ce1 0.0000 0.0000 0.0000 (multiplicity 4)  8 Pu 3.05
Pu1 0.2500 0.2500 0.2500 (multiplicity 8)  4 Ce 3.05, 4 Ir 3.05
Ir1 0.0000 0.0000 0.5000 (multiplicity 4)  8 Pu 3.05

No. 11
Entry from the Alexandria database: an optimized crystal structure of Y2SeBr (GGA-PBE).

Summary:
Raw formation energy (eV per atom): -1.346
ΔE to the lowest computed polymorph (eV/atom): 0.000

Cell lengths 3.9646, 3.9646, 6.3178 Å; angles 90.00, 90.00, 90.00 degrees
With the nearest neighbours (Å) after each atom.
Space group P4mm (No. 99)
Unique sites:
Y1 0.0000 0.0000 0.0000 (multiplicity 1)  4 Se 2.92, 2 Br 3.09-3.23
Y2 0.5000 0.5000 0.3477 (multiplicity 1)  4 Br 2.94, 1 Se 3.02
Se1 0.5000 0.5000 0.8698 (multiplicity 1)  5 Y 2.92-3.02
Br1 0.0000 0.0000 0.4892 (multiplicity 1)  6 Y 2.94-3.23

No. 12
Entry from the Alexandria database: an optimized crystal structure of FeNiSe4 (GGA-PBE).

Summary:
Raw formation energy (eV per atom): -0.266
ΔE to the lowest computed polymorph (eV/atom): 0.000

Cell lengths 5.8610, 5.8859, 5.8678 Å; angles 90.00, 90.40, 90.00 degrees
With the nearest neighbours (Å) after each atom.
Space group P2_1/c (No. 14)
Unique sites:
Fe1 0.0000 0.0000 0.0000 (multiplicity 2)  6 Se 2.37-2.41
Ni1 0.5000 0.0000 0.5000 (multiplicity 2)  6 Se 2.46-2.50
Se1 0.1166 0.1290 0.6302 (multiplicity 4)  2 Fe 2.40-2.41, 1 Ni 2.50, 1 Se 2.55
Se2 0.3690 0.6207 0.6177 (multiplicity 4)  1 Fe 2.37, 2 Ni 2.46-2.47, 1 Se 2.51

No. 13
Entry from the Alexandria database: an optimized crystal structure of CaCd2RePd (GGA-PBE).

Summary:
Calculated formation energy (eV/atom): 1.89

Cell lengths 5.4168, 5.4168, 4.9324 Å; angles 90.00, 90.00, 90.00 degrees
With the nearest neighbours (Å) after each atom.
Space group P4/mmm (No. 123)
Unique sites:
Ca1 0.0000 0.0000 0.0000 (multiplicity 1)  2 Re 2.47, 4 Cd 2.71
Cd1 0.0000 0.5000 0.0000 (multiplicity 2)  2 Ca 2.71
Re1 0.0000 0.0000 0.5000 (multiplicity 1)  2 Ca 2.47
Pd1 0.5000 0.5000 0.5000 (multiplicity 1)  8 Cd 3.66, 4 Re 3.83

No. 14
Entry from the Alexandria database: an optimized crystal structure of K3Mg2TcO6 (GGA-PBE).

Summary:
Raw formation energy (eV per atom): -1.821

Cell lengths 5.4921, 9.5142, 6.3251 Å; angles 90.00, 106.81, 90.00 degrees
With the nearest neighbours (Å) after each atom.
Space group C2/m (No. 12)
Unique sites:
K1 0.0000 0.0000 0.0000 (multiplicity 2)  6 O 2.65-2.75
K2 0.0000 0.3299 0.0000 (multiplicity 4)  6 O 2.65-2.74
Mg1 0.0000 0.1664 0.5000 (multiplicity 4)  6 O 2.17
Tc1 0.0000 0.5000 0.5000 (multiplicity 2)  6 O 2.02-2.03
O1 0.2155 0.3436 0.6757 (multiplicity 8)  1 Tc 2.02, 2 Mg 2.17
O2 0.2464 0.0000 0.6774 (multiplicity 4)  1 Tc 2.03, 2 Mg 2.17

No. 15
Entry from the Alexandria database: an optimized crystal structure of SrLaEuTm (GGA-PBE).

Summary:
Calculated formation energy (eV/atom): 0.19

Cell lengths 8.5666, 8.5666, 8.5666 Å; angles 90.00, 90.00, 90.00 degrees
With the nearest neighbours (Å) after each atom.
Space group F-43m (No. 216)
Unique sites:
Sr1 0.0000 0.0000 0.0000 (multiplicity 4)  4 Tm 3.71, 4 Eu 3.71
La1 0.0000 0.0000 0.5000 (multiplicity 4)  4 Tm 3.71, 4 Eu 3.71
Eu1 0.2500 0.2500 0.2500 (multiplicity 4)  4 La 3.71, 4 Sr 3.71
Tm1 0.2500 0.2500 0.7500 (multiplicity 4)  4 La 3.71, 4 Sr 3.71

No. 16
Entry from the Alexandria database: an optimized crystal structure of ErMgGa4 (GGA-PBE).

Summary:
Calculated formation energy (eV/atom): -0.28
ΔE to the lowest computed polymorph (eV/atom): 0.101

Cell lengths 7.7362, 7.7362, 7.7362 Å; angles 90.00, 90.00, 90.00 degrees
With the nearest neighbours (Å) after each atom.
Space group F-43m (No. 216)
Unique sites:
Er1 0.0000 0.0000 0.0000 (multiplicity 4)  12 Ga 3.21, 4 Mg 3.35
Mg1 0.2500 0.2500 0.7500 (multiplicity 4)  12 Ga 3.21, 4 Er 3.35
Ga1 0.1252 0.1252 0.3748 (multiplicity 16)  6 Ga 2.73-2.74

| no. | total magnetic moment (μB per formula unit) |
| --- | --- |
| 1 | 0.0 |
| 2 | 4.0 |
| 3 | 0.0 |
| 4 | 0.0 |
| 5 | 0.2 |
| 6 | 0.0 |
| 7 | 0.0 |
| 8 | 0.0 |
| 9 | 0.0 |
| 10 | 11.9 |
| 11 | 0.0 |
| 12 | 0.3 |
| 13 | 2.4 |
| 14 | 2.0 |
| 15 | 7.8 |
| 16 | 0.0 |